(1)
! FeSbIr2 | Alexandria | PBE-GGA | optimized geometry; values from VASP
&SYSTEM
  ibrav = 0, nat = 4, ntyp = 3
/
ATOMIC_SPECIES
Fe 55.84 Fe.upf
Sb 121.76 Sb.upf
Ir 192.22 Ir.upf
ATOMIC_POSITIONS crystal
Fe 0.000 0.000 0.000
Sb 0.500 0.500 0.678
Ir 0.000 0.000 0.471
Ir 0.500 0.500 0.162
CELL_PARAMETERS angstrom
2.995 0.000 0.000
0.000 3.957 0.000
0.000 0.000 5.444
! Formation energy from raw total energies in meV per atom: 208

=====

(2)
! PuMnNb2 | Alexandria | PBE-GGA | optimized geometry; values from VASP
&SYSTEM
  ibrav = 0, nat = 4, ntyp = 3
/
ATOMIC_SPECIES
Pu 244.00 Pu.upf
Mn 54.94 Mn.upf
Nb 92.91 Nb.upf
ATOMIC_POSITIONS crystal
Pu 0.000 0.000 0.000
Mn 0.000 0.000 0.500
Nb 0.500 0.500 0.298
Nb 0.500 0.500 0.702
CELL_PARAMETERS angstrom
3.069 0.000 0.000
0.000 3.069 0.000
0.000 0.000 7.567
! Formation energy from the elements in eV per atom: 0.15

=====

(3)
! ErCo2GeP | Alexandria | PBE-GGA | optimized geometry; values from VASP
&SYSTEM
  ibrav = 0, nat = 10, ntyp = 4
/
ATOMIC_SPECIES
Er 167.26 Er.upf
Co 58.93 Co.upf
Ge 72.64 Ge.upf
P 30.97 P.upf
ATOMIC_POSITIONS crystal
Er 0.070 0.930 0.750
Er 0.930 0.070 0.250
Co 0.320 0.680 0.562
Co 0.320 0.680 0.938
Co 0.680 0.320 0.062
Co 0.680 0.320 0.438
Ge 0.223 0.777 0.250
Ge 0.777 0.223 0.750
P 0.500 0.500 0.000
P 0.500 0.500 0.500
CELL_PARAMETERS angstrom
1.984 -5.731 0.000
1.984 5.731 0.000
0.000 0.000 6.916
! Formation energy from the elements in eV per atom: -0.64

=====

(4)
! CaGaAg2 | Alexandria | PBE-GGA | optimized geometry; values from VASP
&SYSTEM
  ibrav = 0, nat = 8, ntyp = 3
/
ATOMIC_SPECIES
Ca 40.08 Ca.upf
Ga 69.72 Ga.upf
Ag 107.87 Ag.upf
ATOMIC_POSITIONS crystal
Ca 0.000 0.000 0.000
Ca 0.500 0.500 0.000
Ga 0.000 0.500 0.000
Ga 0.500 0.000 0.000
Ag 0.000 0.300 0.500
Ag 0.000 0.700 0.500
Ag 0.500 0.200 0.500
Ag 0.500 0.800 0.500
CELL_PARAMETERS angstrom
5.826 0.000 0.000
0.000 7.019 0.000
0.000 0.000 4.574
! Formation energy from the elements in eV per atom: -0.04

=====

(5)
! Pu2HS | Alexandria | PBE-GGA | optimized geometry; values from VASP
&SYSTEM
  ibrav = 0, nat = 12, ntyp = 3
/
ATOMIC_SPECIES
Pu 244.00 Pu.upf
H 1.01 H.upf
S 32.06 S.upf
ATOMIC_POSITIONS crystal
Pu 0.000 0.000 0.000
Pu 0.000 0.000 0.158
Pu 0.333 0.667 0.667
Pu 0.333 0.667 0.825
Pu 0.667 0.333 0.333
Pu 0.667 0.333 0.492
H 0.000 0.000 0.409
H 0.333 0.667 0.076
H 0.667 0.333 0.742
S 0.000 0.000 0.579
S 0.333 0.667 0.246
S 0.667 0.333 0.912
CELL_PARAMETERS angstrom
3.667 0.000 0.000
-1.834 3.176 0.000
0.000 0.000 19.722
! Relative energy among the computed polymorphs in meV/atom: 107.1

=====

(6)
! AcDyCdPd | Alexandria | PBE-GGA | optimized geometry; values from VASP
&SYSTEM
  ibrav = 0, nat = 16, ntyp = 4
/
ATOMIC_SPECIES
Ac 227.00 Ac.upf
Dy 162.50 Dy.upf
Cd 112.41 Cd.upf
Pd 106.42 Pd.upf
ATOMIC_POSITIONS crystal
Ac 0.000 0.000 0.000
Ac 0.000 0.500 0.500
Ac 0.500 0.000 0.500
Ac 0.500 0.500 0.000
Dy 0.000 0.000 0.500
Dy 0.000 0.500 0.000
Dy 0.500 0.000 0.000
Dy 0.500 0.500 0.500
Cd 0.250 0.250 0.750
Cd 0.250 0.750 0.250
Cd 0.750 0.250 0.250
Cd 0.750 0.750 0.750
Pd 0.250 0.250 0.250
Pd 0.250 0.750 0.750
Pd 0.750 0.250 0.750
Pd 0.750 0.750 0.250
CELL_PARAMETERS angstrom
7.591 0.000 0.000
0.000 7.591 0.000
0.000 0.000 7.591
! Formation energy from the elements in eV per atom: -0.44

=====

(7)
! Pa3Re2Si3Ru | Alexandria | PBE-GGA | optimized geometry; values from VASP
&SYSTEM
  ibrav = 0, nat = 9, ntyp = 4
/
ATOMIC_SPECIES
Pa 231.04 Pa.upf
Re 186.21 Re.upf
Si 28.09 Si.upf
Ru 101.07 Ru.upf
ATOMIC_POSITIONS crystal
Pa 0.000 0.419 0.000
Pa 0.419 0.000 0.000
Pa 0.581 0.581 0.000
Re 0.333 0.667 0.500
Re 0.667 0.333 0.500
Si 0.000 0.760 0.500
Si 0.240 0.240 0.500
Si 0.760 0.000 0.500
Ru 0.000 0.000 0.000
CELL_PARAMETERS angstrom
6.952 0.000 0.000
-3.476 6.021 0.000
0.000 0.000 3.967
! Formation energy from raw total energies in meV per atom: -529

=====

(8)
! LiInTeO4 | Alexandria | PBE-GGA | optimized geometry; values from VASP
&SYSTEM
  ibrav = 0, nat = 14, ntyp = 4
/
ATOMIC_SPECIES
Li 6.94 Li.upf
In 114.82 In.upf
Te 127.60 Te.upf
O 16.00 O.upf
ATOMIC_POSITIONS crystal
Li 0.162 0.838 0.750
Li 0.838 0.162 0.250
In 0.500 0.500 0.000
In 0.500 0.500 0.500
Te 0.150 0.850 0.250
Te 0.850 0.150 0.750
O 0.264 0.265 0.250
O 0.265 0.264 0.750
O 0.269 0.731 0.009
O 0.269 0.731 0.491
O 0.731 0.269 0.509
O 0.731 0.269 0.991
O 0.735 0.736 0.250
O 0.736 0.735 0.750
CELL_PARAMETERS angstrom
3.159 -4.840 0.000
3.159 4.840 0.000
0.000 0.000 6.520
! Formation energy from raw total energies in meV per atom: -1287

=====

(9)
! AsWCl | Alexandria | PBE-GGA | optimized geometry; values from VASP
&SYSTEM
  ibrav = 0, nat = 6, ntyp = 3
/
ATOMIC_SPECIES
As 74.92 As.upf
W 183.84 W.upf
Cl 35.45 Cl.upf
ATOMIC_POSITIONS crystal
As 0.000 0.000 0.000
As 0.500 0.500 0.500
W 0.000 0.000 0.614
W 0.500 0.500 0.114
Cl 0.000 0.000 0.236
Cl 0.500 0.500 0.736
CELL_PARAMETERS angstrom
3.067 0.000 0.000
0.000 3.067 0.000
0.000 0.000 13.222
! Formation energy from raw total energies in meV per atom: 131
! Relative energy among the computed polymorphs in meV/atom: 146.9

=====

(10)
! AlCl | Alexandria | PBE-GGA | optimized geometry; values from VASP
&SYSTEM
  ibrav = 0, nat = 16, ntyp = 2
/
ATOMIC_SPECIES
Al 26.98 Al.upf
Cl 35.45 Cl.upf
ATOMIC_POSITIONS crystal
Al 0.133 0.133 0.133
Al 0.133 0.867 0.867
Al 0.367 0.367 0.633
Al 0.367 0.633 0.367
Al 0.633 0.367 0.367
Al 0.633 0.633 0.633
Al 0.867 0.133 0.867
Al 0.867 0.867 0.133
Cl 0.119 0.119 0.881
Cl 0.119 0.881 0.119
Cl 0.381 0.381 0.381
Cl 0.381 0.619 0.619
Cl 0.619 0.381 0.619
Cl 0.619 0.619 0.381
Cl 0.881 0.119 0.119
Cl 0.881 0.881 0.881
CELL_PARAMETERS angstrom
10.469 0.000 0.000
0.000 10.469 0.000
0.000 0.000 10.469
! Formation energy from raw total energies in meV per atom: -311

=====

(11)
! KPRhO2 | Alexandria | PBE-GGA | optimized geometry; values from VASP
&SYSTEM
  ibrav = 0, nat = 5, ntyp = 4
/
ATOMIC_SPECIES
K 39.10 K.upf
P 30.97 P.upf
Rh 102.91 Rh.upf
O 16.00 O.upf
ATOMIC_POSITIONS crystal
K 0.000 0.000 0.000
P 0.500 0.500 0.000
Rh 0.500 0.500 0.500
O 0.000 0.500 0.500
O 0.500 0.000 0.500
CELL_PARAMETERS angstrom
4.266 0.000 0.000
0.000 4.266 0.000
0.000 0.000 4.431
! Formation energy from raw total energies in meV per atom: -116
! Relative energy among the computed polymorphs in meV/atom: 0.0

=====

(12)
! Li2Pb3Cl8 | Alexandria | PBE-GGA | optimized geometry; values from VASP
&SYSTEM
  ibrav = 0, nat = 13, ntyp = 3
/
ATOMIC_SPECIES
Li 6.94 Li.upf
Pb 207.20 Pb.upf
Cl 35.45 Cl.upf
ATOMIC_POSITIONS crystal
Li 0.167 0.167 0.119
Li 0.833 0.833 0.881
Pb 0.234 0.766 0.500
Pb 0.500 0.500 0.000
Pb 0.766 0.234 0.500
Cl 0.118 0.635 0.757
Cl 0.128 0.128 0.762
Cl 0.365 0.882 0.243
Cl 0.370 0.370 0.252
Cl 0.630 0.630 0.748
Cl 0.635 0.118 0.757
Cl 0.872 0.872 0.238
Cl 0.882 0.365 0.243
CELL_PARAMETERS angstrom
6.610 -4.288 0.000
6.610 4.288 0.000
-2.695 0.000 6.797
! Formation energy from raw total energies in meV per atom: -1332

=====

(13)
! Ba6Pd2Br3Cl | Alexandria | PBE-GGA | optimized geometry; values from VASP
&SYSTEM
  ibrav = 0, nat = 12, ntyp = 4
/
ATOMIC_SPECIES
Ba 137.33 Ba.upf
Pd 106.42 Pd.upf
Br 79.90 Br.upf
Cl 35.45 Cl.upf
ATOMIC_POSITIONS crystal
Ba 0.078 0.428 0.781
Ba 0.223 0.223 0.218
Ba 0.428 0.078 0.781
Ba 0.572 0.922 0.219
Ba 0.777 0.777 0.782
Ba 0.922 0.572 0.219
Pd 0.167 0.833 0.000
Pd 0.833 0.167 0.000
Br 0.000 0.000 0.500
Br 0.339 0.661 0.500
Br 0.661 0.339 0.500
Cl 0.500 0.500 0.000
CELL_PARAMETERS angstrom
4.029 -6.972 0.000
4.029 6.972 0.000
-2.683 0.000 8.301
! Formation energy from raw total energies in meV per atom: -1314